(1)
Below is a geometry-optimized AcBiP2 structure, with properties calculated at the PBE level.

Properties
ΔE to the lowest computed polymorph: 0.000 eV/atom
Total energy: -5.3294 eV/atom

a = 7.395 Å, b = 7.395 Å, c = 7.395 Å
α = 33.97°, β = 33.97°, γ = 33.97°
Atoms (fractional coordinates):
Ac: 0.000 0.000 0.000
Bi: 0.500 0.500 0.500
P: 0.247 0.247 0.247
P: 0.753 0.753 0.753

(2)
Below is a geometry-optimized AcBiP2 structure, with properties calculated at the PBE level.

Properties
Fermi-level density of states: 1.77 states/eV per cell
ΔE to the lowest computed polymorph: 0.143 eV/atom
Total energy: -5.1863 eV/atom

a = 5.035 Å, b = 5.035 Å, c = 3.910 Å
α = 90.00°, β = 90.00°, γ = 90.00°
Atoms (fractional coordinates):
Ac: 0.000 0.000 0.000
Bi: 0.500 0.500 0.000
P: 0.000 0.500 0.500
P: 0.500 0.000 0.500

(3)
Below is a geometry-optimized Ac2BiP structure, with properties calculated at the PBE level.

Properties
Fermi-level density of states: 1.69 states/eV per cell
ΔE to the lowest computed polymorph: 0.390 eV/atom
Total energy: -5.1874 eV/atom

a = 5.656 Å, b = 5.656 Å, c = 5.656 Å
α = 60.00°, β = 60.00°, γ = 60.00°
Atoms (fractional coordinates):
Ac: 0.250 0.250 0.250
Ac: 0.750 0.750 0.750
Bi: 0.000 0.000 0.000
P: 0.500 0.500 0.500

(4)
Below is a geometry-optimized Ac6BiP4 structure, with properties calculated at the PBE level.

Properties
Fermi-level density of states: 9.00 states/eV per cell
Total energy: -5.8292 eV/atom

a = 7.644 Å, b = 7.644 Å, c = 22.784 Å
α = 90.00°, β = 90.00°, γ = 145.77°
Atoms (fractional coordinates):
Ac: 0.000 0.000 0.000
Ac: 0.000 0.000 0.500
Ac: 0.162 0.838 0.750
Ac: 0.274 0.726 0.080
Ac: 0.274 0.726 0.420
Ac: 0.459 0.541 0.657
Ac: 0.459 0.541 0.843
Ac: 0.541 0.459 0.157
Ac: 0.541 0.459 0.343
Ac: 0.726 0.274 0.580
Ac: 0.726 0.274 0.920
Ac: 0.838 0.162 0.250
Bi: 0.161 0.839 0.250
Bi: 0.839 0.161 0.750
P: 0.091 0.909 0.625
P: 0.091 0.909 0.875
P: 0.362 0.638 0.541
P: 0.362 0.638 0.959
P: 0.638 0.362 0.041
P: 0.638 0.362 0.459
P: 0.909 0.091 0.125
P: 0.909 0.091 0.375